# 1
A geometry-optimized Nd4TmSc structure, computed with PBE.

It has space group Cmmm (No. 65), with a = 11.466 Å, b = 11.506 Å, c = 3.460 Å, α = 90.00°, β = 90.00° and γ = 90.00°. The inequivalent atoms are Nd at (0.000, 0.234, 0.000), Nd at (0.245, 0.500, 0.500), Tm at (0.000, 0.500, 0.000) and Sc at (0.000, 0.000, 0.500).

The crystal system is orthorhombic. For the formation energy, the calculation gives 0.578 eV/atom.

=====

# 2
A geometry-optimized Ca2HfTlO6 structure, computed with PBE.

It has space group R3 (No. 146, hexagonal axes), with a = 5.7604 Å, b = 5.7604 Å, c = 14.8996 Å, α = 90.00°, β = 90.00° and γ = 120.00°. The inequivalent atoms are Ca at (0.0000, 0.0000, 0.0000), Ca at (0.0000, 0.0000, 0.4961), Hf at (0.0000, 0.0000, 0.7163), Tl at (0.0000, 0.0000, 0.2170), O at (0.0552, 0.7177, 0.7801) and O at (0.0738, 0.3731, 0.2870).

The crystal system is trigonal. The value obtained for the uncorrected formation energy is -2.347 eV/atom.

=====

# 3
A geometry-optimized GaBiN2F structure, computed with PBE.

It has space group P4/mmm (No. 123), with a = 4.393 Å, b = 4.393 Å, c = 4.557 Å, α = 90.00°, β = 90.00° and γ = 90.00°. The inequivalent atoms are Ga at (0.000, 0.000, 0.000), Bi at (0.500, 0.500, 0.500), N at (0.000, 0.500, 0.500) and F at (0.500, 0.500, 0.000).

The crystal system is tetragonal. The value obtained for the uncorrected formation energy is 0.662 eV/atom.

=====

# 4
A geometry-optimized Dy12Sc5Al3 structure, computed with PBE.

It has space group Ia-3d (No. 230), with a = 17.715 Å, b = 17.715 Å, c = 17.715 Å, α = 90.00°, β = 90.00° and γ = 90.00°. The inequivalent atoms are Dy at (0.007, 0.079, 0.651), Sc at (0.000, 0.000, 0.000), Sc at (0.000, 0.250, 0.375) and Al at (0.000, 0.250, 0.125).

The crystal system is cubic. For the formation energy, the calculation gives 0.833 eV/atom.

=====

no.,size of the total moment (μB per formula unit)
1,0.0
2,1.1
3,1.5
4,0.1